# 1
The following is a PBE calculation of La6Pr2Tl after structural relaxation, from the Alexandria database.

Values from the calculation:
Distance to the lowest polymorph of the same formula, kJ per mole of atoms: 0.0
Density, Mg/m³: 6.78
DFT total energy, eV per cell: -42.3

Lattice parameters (Å, degrees): 9.9282 9.9282 3.7862 90.00 90.00 120.00
Space group P-62m (No. 189)
Inequivalent atoms, fractional coordinates:
La 0.0000 0.3669 0.0000
La 0.0000 0.7189 0.5000
Pr 0.3333 0.6667 0.5000
Tl 0.0000 0.0000 0.0000

=====

# 2
The following is a PBE calculation of La2Pr5Tl after structural relaxation, from the Alexandria database.

Values from the calculation:
Distance to the lowest polymorph of the same formula, kJ per mole of atoms: 7.8
Density, Mg/m³: 6.93
DFT total energy, eV per cell: -72.1

Lattice parameters (Å, degrees): 3.6902 9.6472 15.9770 90.00 90.00 90.00
Space group Immm (No. 71)
Inequivalent atoms, fractional coordinates:
La 0.0000 0.0000 0.2216
Pr 0.0000 0.0000 0.0000
Pr 0.0000 0.2264 0.3856
Tl 0.0000 0.5000 0.0000

=====

# 3
The following is a PBE calculation of La2PrTl after structural relaxation, from the Alexandria database.

Values from the calculation:
Distance to the lowest polymorph of the same formula, kJ per mole of atoms: 7.5
Density, Mg/m³: 7.65
DFT total energy, eV per cell: -70.5

Lattice parameters (Å, degrees): 4.9055 23.3704 4.7185 90.00 90.00 90.00
Space group Cmcm (No. 63)
Inequivalent atoms, fractional coordinates:
La 0.0000 0.0524 0.2500
La 0.0000 0.4290 0.2500
Pr 0.0000 0.3027 0.7500
Tl 0.0000 0.1655 0.7500

=====

What did the second record say?
The following is a PBE calculation of La2Pr5Tl after structural relaxation, from the Alexandria database.

Values from the calculation:
Distance to the lowest polymorph of the same formula, kJ per mole of atoms: 7.8
Density, Mg/m³: 6.93
DFT total energy, eV per cell: -72.1

Lattice parameters (Å, degrees): 3.6902 9.6472 15.9770 90.00 90.00 90.00
Space group Immm (No. 71)
Inequivalent atoms, fractional coordinates:
La 0.0000 0.0000 0.2216
Pr 0.0000 0.0000 0.0000
Pr 0.0000 0.2264 0.3856
Tl 0.0000 0.5000 0.0000

=====

- Which formula does entry 3 have?
  La2PrTl

=====

What did the third record say?
The following is a PBE calculation of La2PrTl after structural relaxation, from the Alexandria database.

Values from the calculation:
Distance to the lowest polymorph of the same formula, kJ per mole of atoms: 7.5
Density, Mg/m³: 7.65
DFT total energy, eV per cell: -70.5

Lattice parameters (Å, degrees): 4.9055 23.3704 4.7185 90.00 90.00 90.00
Space group Cmcm (No. 63)
Inequivalent atoms, fractional coordinates:
La 0.0000 0.0524 0.2500
La 0.0000 0.4290 0.2500
Pr 0.0000 0.3027 0.7500
Tl 0.0000 0.1655 0.7500

=====

- Among the records above, which one has the highest DFT total energy?
  La6Pr2Tl